# 1
Here is a relaxed structure of Ac4Tm3ScBi8 from Alexandria. Energies are from PBE-GGA.

a b c (Å): 9.3000 9.2619 9.3006
angles (deg): 120.14 120.00 90.00
Atoms (fractional coordinates):
Bi1 0.2587 0.2765 0.5174
Bi2 0.7447 0.7198 0.9823
Bi3 0.7622 0.2796 0.5244
Bi4 0.2378 0.7204 0.4756
Bi5 0.7624 0.2802 0.0177
Bi6 0.7413 0.7235 0.4826
Bi7 0.2553 0.2802 0.0177
Bi8 0.2376 0.7198 0.9823
Tm1 0.5000 0.5000 0.5000
Tm2 0.5000 0.5000 0.0000
Tm3 0.0000 0.5000 0.5000
Ac1 0.5000 0.0000 0.0000
Ac2 0.0000 0.0000 0.5000
Ac3 0.5000 0.0000 0.5000
Ac4 0.0000 0.0000 0.0000
Sc1 0.0000 0.5000 0.0000

Symmetry = No. 166
Calculated total energy = -5.05 eV/atom
Calculated formation energy = -0.85 eV per atom


# 2
Here is a relaxed structure of SmHgAu3 from Alexandria. Energies are from PBE-GGA.

a b c (Å): 5.2496 6.4915 6.7320
angles (deg): 90.00 74.68 90.00
Atoms (fractional coordinates):
Au1 0.9501 0.2500 0.4844
Au2 0.8274 0.4875 0.8627
Au3 0.0499 0.7500 0.5156
Au4 0.1726 0.5125 0.1373
Au5 0.8274 0.0125 0.8627
Au6 0.1726 0.9875 0.1373
Sm1 0.6324 0.7500 0.2654
Sm2 0.3676 0.2500 0.7346
Hg1 0.4197 0.7500 0.7670
Hg2 0.5803 0.2500 0.2330

Symmetry = No. 11
Calculated total energy = -3.40 eV/atom
Calculated formation energy = -0.43 eV per atom


# 3
Here is a relaxed structure of FeSiRu2 from Alexandria. Energies are from PBE-GGA.

a b c (Å): 2.9518 4.1682 4.1682
angles (deg): 90.00 90.00 90.00
Each line ends with the local moment (μB).
Atoms (fractional coordinates):
Fe1 0.5000 0.0000 0.5000  2.64
Si1 0.5000 0.5000 0.0000  0.01
Ru1 0.0000 0.0000 0.0000  0.25
Ru2 0.0000 0.5000 0.5000  0.25

Uncorrected formation energy = -0.324 eV/atom
Symmetry = No. 123
Calculated total energy = -8.43 eV/atom


# 4
Here is a relaxed structure of Cs2Na3Tl12Pb from Alexandria. Energies are from PBE-GGA.

a b c (Å): 12.7499 12.7499 12.7499
angles (deg): 37.07 37.07 37.07
Atoms (fractional coordinates):
Cs1 0.6515 0.6515 0.6515
Cs2 0.3485 0.3485 0.3485
Tl1 0.9271 0.3625 0.9271
Tl2 0.1933 0.5819 0.5819
Tl3 0.5819 0.1933 0.5819
Tl4 0.4181 0.4181 0.8067
Tl5 0.0729 0.0729 0.6375
Tl6 0.4181 0.8067 0.4181
Tl7 0.3625 0.9271 0.9271
Tl8 0.9271 0.9271 0.3625
Tl9 0.8067 0.4181 0.4181
Tl10 0.5819 0.5819 0.1933
Tl11 0.0729 0.6375 0.0729
Tl12 0.6375 0.0729 0.0729
Pb1 0.0000 0.0000 0.0000
Na1 0.0000 0.5000 0.0000
Na2 0.0000 0.0000 0.5000
Na3 0.5000 0.0000 0.0000

Symmetry = No. 166
Calculated total energy = -2.10 eV/atom
Calculated formation energy = 0.00 eV per atom


# 5
Here is a relaxed structure of CeHoIr2 from Alexandria. Energies are from PBE-GGA.

a b c (Å): 5.5185 5.7908 10.9931
angles (deg): 88.88 90.00 90.00
Atoms (fractional coordinates):
Ir1 0.7505 0.5689 0.1535
Ir2 0.2497 0.9335 0.1419
Ir3 0.7503 0.0665 0.8581
Ir4 0.2495 0.4311 0.8465
Ir5 0.2495 0.0689 0.6535
Ir6 0.2497 0.5665 0.3581
Ir7 0.7503 0.4335 0.6419
Ir8 0.7505 0.9311 0.3465
Ho1 0.7498 0.9361 0.6063
Ho2 0.7498 0.5639 0.8937
Ho3 0.2502 0.0639 0.3937
Ho4 0.2502 0.4361 0.1063
Ce1 0.7500 0.0570 0.1081
Ce2 0.7500 0.4430 0.3919
Ce3 0.2500 0.5570 0.6081
Ce4 0.2500 0.9430 0.8919

Symmetry = No. 12
Calculated total energy = -7.73 eV/atom
Calculated formation energy = -0.67 eV per atom


# 6
Here is a relaxed structure of Li5Ac2Cu4 from Alexandria. Energies are from PBE-GGA.

a b c (Å): 5.3779 7.2823 7.1257
angles (deg): 67.99 67.83 68.33
Atoms (fractional coordinates):
Li1 0.2969 0.7516 0.1564
Li2 0.0000 0.5000 0.5000
Li3 0.7031 0.2484 0.8436
Li4 0.2049 0.2484 0.8436
Li5 0.7951 0.7516 0.1564
Cu1 0.6177 0.9409 0.8236
Cu2 0.2317 0.4407 0.0960
Cu3 0.3823 0.0591 0.1764
Cu4 0.7683 0.5593 0.9040
Ac1 0.7266 0.2160 0.3308
Ac2 0.2734 0.7840 0.6692

Symmetry = No. 12
Calculated total energy = -3.14 eV/atom
Calculated formation energy = -0.03 eV per atom


# 7
Here is a relaxed structure of BaSrMg from Alexandria. Energies are from PBE-GGA.

a b c (Å): 6.0545 6.0545 6.0548
angles (deg): 89.80 120.12 120.11
Atoms (fractional coordinates):
Ba1 0.9445 0.9723 0.9168
Mg1 0.4444 0.2222 0.6666
Sr1 0.9444 0.4722 0.4166

Polymorph energy (0 for the lowest one) = 165 meV/atom
Symmetry = No. 119
Calculated total energy = -1.60 eV/atom
Calculated formation energy = 0.13 eV per atom


# 8
Here is a relaxed structure of YGa2Ge2 from Alexandria. Energies are from PBE-GGA.

a b c (Å): 7.4638 7.4638 3.6681
angles (deg): 90.00 90.00 90.00
Atoms (fractional coordinates):
Ga1 0.8386 0.3386 0.5000
Ga2 0.1614 0.6614 0.5000
Ga3 0.3386 0.1614 0.5000
Ga4 0.6614 0.8386 0.5000
Ge1 0.6256 0.1256 0.0000
Ge2 0.8744 0.6256 0.0000
Ge3 0.1256 0.3744 0.0000
Ge4 0.3744 0.8744 0.0000
Y1 0.0000 0.0000 0.0000
Y2 0.5000 0.5000 0.0000

Symmetry = No. 127
Calculated total energy = -4.57 eV/atom
Calculated formation energy = -0.21 eV per atom


# 9
Here is a relaxed structure of Cr3GeOs from Alexandria. Energies are from PBE-GGA.

a b c (Å): 4.6850 4.6850 4.6850
angles (deg): 90.00 90.00 90.00
Each line ends with the local moment (μB).
Atoms (fractional coordinates):
Cr1 0.5000 0.0000 0.0000  3.46
Cr2 0.0000 0.5000 0.0000  3.01
Cr3 0.0000 0.0000 0.5000  2.71
Ge1 0.5000 0.5000 0.5000  -0.17
Os1 0.0000 0.0000 0.0000  -0.61

Polymorph energy (0 for the lowest one) = 0 meV/atom
Symmetry = No. 221
Calculated total energy = -7.67 eV/atom
Calculated formation energy = 1.27 eV per atom


# 10
Here is a relaxed structure of BePbAu2 from Alexandria. Energies are from PBE-GGA.

a b c (Å): 4.2590 4.0323 5.1088
angles (deg): 81.71 90.00 90.00
Atoms (fractional coordinates):
Be1 0.0000 0.5043 0.2944
Pb1 0.5000 0.6898 0.7874
Au1 0.0000 0.0282 0.0629
Au2 0.5000 0.2777 0.3553

Polymorph energy (0 for the lowest one) = 118 meV/atom
Symmetry = No. 6
Calculated total energy = -3.40 eV/atom
Calculated formation energy = 0.09 eV per atom


# 11
Here is a relaxed structure of TbZr3Fe8 from Alexandria. Energies are from PBE-GGA.

a b c (Å): 5.0160 5.0160 8.7109
angles (deg): 73.27 73.27 60.00
Each line ends with the local moment (μB).
Atoms (fractional coordinates):
Fe1 0.9368 0.9368 0.6917  1.97
Fe2 0.6875 0.6875 0.9374  1.97
Fe3 0.4386 0.9399 0.1829  1.97
Fe4 0.1873 0.1873 0.4380  1.96
Fe5 0.4386 0.4386 0.1829  1.97
Fe6 0.4347 0.9368 0.6917  1.97
Fe7 0.9399 0.4386 0.1829  1.97
Fe8 0.9368 0.4347 0.6917  1.97
Zr1 0.4991 0.4991 0.5028  -0.57
Zr2 0.3750 0.3750 0.8750  -0.51
Zr3 0.0007 0.0007 0.9978  -0.54
Tb1 0.8750 0.8750 0.3751  -0.51

Symmetry = No. 160
Calculated total energy = -8.39 eV/atom
Calculated formation energy = -0.22 eV per atom


# 12
Here is a relaxed structure of HfMg14Sn from Alexandria. Energies are from PBE-GGA.

a b c (Å): 6.3969 6.3969 10.3863
angles (deg): 90.00 90.00 121.64
Atoms (fractional coordinates):
Mg1 0.1734 0.3370 0.2509
Mg2 0.1734 0.3370 0.7491
Mg3 0.6630 0.8266 0.7491
Mg4 0.6630 0.8266 0.2509
Mg5 0.3297 0.1668 0.5000
Mg6 0.3308 0.1689 0.0000
Mg7 0.6675 0.3325 0.7495
Mg8 0.8332 0.6703 0.5000
Mg9 0.1711 0.8289 0.2517
Mg10 0.6675 0.3325 0.2505
Mg11 0.8310 0.1690 0.0000
Mg12 0.3313 0.6687 0.0000
Mg13 0.1711 0.8289 0.7483
Mg14 0.8311 0.6692 0.0000
Sn1 0.8317 0.1683 0.5000
Hf1 0.3311 0.6689 0.5000

Polymorph energy (0 for the lowest one) = 0 meV/atom
Symmetry = No. 38
Calculated total energy = -2.28 eV/atom
Calculated formation energy = -0.01 eV per atom